[1]
# AlPPt2 (PBE, optimized geometry)
# **V**: 61.30 Å³ per cell
# **Excess energy over the best structure of this formula in the dataset**: 57 meV per atom
data_AlPPt2
_space_group_name_H-M_alt 'P m m 2'
_space_group_IT_number 25
_space_group_name_Hall 'P 2 -2'
_cell_length_a 3.394
_cell_length_b 4.350
_cell_length_c 4.152
_cell_angle_alpha 90.00
_cell_angle_beta 90.00
_cell_angle_gamma 90.00
loop_
_atom_site_label
_atom_site_fract_x
_atom_site_fract_y
_atom_site_fract_z
Al1 0.000 0.000 0.000
P1 0.500 0.500 0.826
Pt1 0.000 0.500 0.275
Pt2 0.500 0.000 0.553

[2]
# Al2TlGe2 (PBE, optimized geometry)
# **V**: 217.24 Å³ per cell
# **Excess energy over the best structure of this formula in the dataset**: 0 meV per atom
data_Al2TlGe2
_space_group_name_H-M_alt 'I 4/m m m'
_space_group_IT_number 139
_space_group_name_Hall '-I 4 2'
_cell_length_a 4.594
_cell_length_b 4.594
_cell_length_c 10.292
_cell_angle_alpha 90.00
_cell_angle_beta 90.00
_cell_angle_gamma 90.00
loop_
_atom_site_label
_atom_site_fract_x
_atom_site_fract_y
_atom_site_fract_z
Al1 0.000 0.500 0.250
Tl1 0.000 0.000 0.000
Ge1 0.000 0.000 0.376

[3]
# Ce2HoNpS5 (PBE, optimized geometry)
# **V**: 248.35 Å³ per cell
# **Energy relative to the elements, uncorrected**: -1291 meV/atom
data_Ce2HoNpS5
_space_group_name_H-M_alt 'P 4/m m m'
_space_group_IT_number 123
_space_group_name_Hall '-P 4 2'
_cell_length_a 4.875
_cell_length_b 4.875
_cell_length_c 10.451
_cell_angle_alpha 90.00
_cell_angle_beta 90.00
_cell_angle_gamma 90.00
loop_
_atom_site_label
_atom_site_fract_x
_atom_site_fract_y
_atom_site_fract_z
Ce1 0.000 0.000 0.202
Ho1 0.500 0.500 0.000
Np1 0.500 0.500 0.500
S1 0.000 0.000 0.500
S2 0.000 0.500 0.000
S3 0.500 0.500 0.252

[4]
# PrTlAgBr5 (PBE, optimized geometry)
# **V**: 1244.65 Å³ per cell
# **Energy relative to the elements, uncorrected**: -1226 meV/atom
data_PrTlAgBr5
_space_group_name_H-M_alt 'C 1 2/c 1'
_space_group_IT_number 15
_space_group_name_Hall '-C 2yc'
_cell_length_a 9.352
_cell_length_b 13.213
_cell_length_c 10.868
_cell_angle_alpha 90.00
_cell_angle_beta 112.06
_cell_angle_gamma 90.00
loop_
_atom_site_label
_atom_site_fract_x
_atom_site_fract_y
_atom_site_fract_z
Pr1 0.000 0.000 0.000
Tl1 0.000 0.364 0.250
Ag1 0.000 0.312 0.750
Br1 0.000 0.088 0.250
Br2 0.126 0.196 0.614
Br3 0.180 0.440 0.944